[1]
## Be3AgPt (GGA-PBE)

Data for a geometry-optimized Be3AgPt structure.

The value obtained for the formation energy is 412.6 kJ/mol of formula units. As for the density of states at the Fermi level: 1.64 states/eV/cell. The energy above the most stable polymorph in this dataset is 0.619 eV per atom.

It has space group Pm-3m (No. 221), with a = 4.176 Å, b = 4.176 Å, c = 4.176 Å, α = 90.00°, β = 90.00° and γ = 90.00°. The inequivalent atoms are Be at (0.000, 0.000, 0.500), Ag at (0.000, 0.000, 0.000) and Pt at (0.500, 0.500, 0.500).

[2]
## Tc2HgPb (GGA-PBE)

Data for a geometry-optimized Tc2HgPb structure.

The value obtained for the formation energy is 105.7 kJ/mol of formula units. As for the density of states at the Fermi level: 2.53 states/eV/cell. The energy above the most stable polymorph in this dataset is 0.000 eV per atom.

It has space group Pm (No. 6), with a = 3.063 Å, b = 3.070 Å, c = 8.790 Å, α = 90.00°, β = 99.74° and γ = 90.00°. The inequivalent atoms are Tc at (0.000, 0.000, 0.000), Tc at (0.424, 0.500, 0.843), Hg at (0.616, 0.500, 0.242) and Pb at (0.797, 0.000, 0.586).

[3]
## MgMoCl3 (GGA-PBE)

Data for a geometry-optimized MgMoCl3 structure.

The uncorrected formation energy comes out at -0.28 eV per atom. As for the density of states at the Fermi level: 1.68 states/eV/cell. The energy above the most stable polymorph in this dataset is 0.113 eV per atom.

It has space group Pm-3m (No. 221), with a = 5.098 Å, b = 5.098 Å, c = 5.098 Å, α = 90.00°, β = 90.00° and γ = 90.00°. The inequivalent atoms are Mg at (0.000, 0.000, 0.000), Mo at (0.500, 0.500, 0.500) and Cl at (0.000, 0.500, 0.500).

[4]
## LaP2Pd (GGA-PBE)

Data for a geometry-optimized LaP2Pd structure.

The value obtained for the formation energy is -298.4 kJ/mol of formula units. As for the density of states at the Fermi level: 5.12 states/eV/cell.

It has space group I-42d (No. 122), with a = 4.635 Å, b = 4.635 Å, c = 16.446 Å, α = 90.00°, β = 90.00° and γ = 90.00°. The inequivalent atoms are La at (0.000, 0.000, 0.000), P at (0.085, 0.250, 0.625) and Pd at (0.000, 0.000, 0.500).

[5]
## Na2PtBrN (GGA-PBE)

Data for a geometry-optimized Na2PtBrN structure.

The uncorrected formation energy comes out at -0.58 eV per atom. As for the density of states at the Fermi level: 2.23 states/eV/cell.

It has space group P4/mmm (No. 123), with a = 5.350 Å, b = 5.350 Å, c = 3.710 Å, α = 90.00°, β = 90.00° and γ = 90.00°. The inequivalent atoms are Na at (0.000, 0.500, 0.000), Pt at (0.000, 0.000, 0.500), Br at (0.500, 0.500, 0.500) and N at (0.000, 0.000, 0.000).

[6]
## Tl2AgF6 (GGA-PBE)

Data for a geometry-optimized Tl2AgF6 structure.

The uncorrected formation energy comes out at -1.60 eV per atom. As for the density of states at the Fermi level: 1.76 states/eV/cell. The energy above the most stable polymorph in this dataset is 0.033 eV per atom.

It has space group P-31m (No. 162), with a = 6.1294 Å, b = 6.1294 Å, c = 4.8603 Å, α = 90.00°, β = 90.00° and γ = 120.00°. The inequivalent atoms are Tl at (0.3333, 0.6667, 0.0000), Ag at (0.0000, 0.0000, 0.5000) and F at (0.0000, 0.3455, 0.2358).

[7]
## La2PmRh9 (GGA-PBE)

Data for a geometry-optimized La2PmRh9 structure.

The value obtained for the formation energy is -600.4 kJ/mol of formula units. As for the density of states at the Fermi level: 37.15 states/eV/cell.

It has space group R-3m (No. 166, hexagonal axes), with a = 5.3275 Å, b = 5.3275 Å, c = 26.8434 Å, α = 90.00°, β = 90.00° and γ = 120.00°. The inequivalent atoms are La at (0.0000, 0.0000, 0.1386), Pm at (0.0000, 0.0000, 0.0000), Rh at (0.0000, 0.0000, 0.3326), Rh at (0.0000, 0.0000, 0.5000) and Rh at (0.0011, 0.5006, 0.0806).

[8]
## B3TeBr (GGA-PBE)

Data for a geometry-optimized B3TeBr structure.

The uncorrected formation energy comes out at 2.18 eV per atom. As for the density of states at the Fermi level: 2.52 states/eV/cell. The energy above the most stable polymorph in this dataset is 0.000 eV per atom.

It has space group Pm-3m (No. 221), with a = 4.644 Å, b = 4.644 Å, c = 4.644 Å, α = 90.00°, β = 90.00° and γ = 90.00°. The inequivalent atoms are B at (0.000, 0.000, 0.500), Te at (0.000, 0.000, 0.000) and Br at (0.500, 0.500, 0.500).

[9]
## Pm2Ho2In3 (GGA-PBE)

Data for a geometry-optimized Pm2Ho2In3 structure.

The value obtained for the formation energy is -208.0 kJ/mol of formula units. As for the density of states at the Fermi level: 14.09 states/eV/cell. The energy above the most stable polymorph in this dataset is 0.000 eV per atom.

It has space group Cmmm (No. 65), with a = 4.577 Å, b = 24.885 Å, c = 3.490 Å, α = 90.00°, β = 90.00° and γ = 90.00°. The inequivalent atoms are Pm at (0.000, 0.071, 0.000), Ho at (0.000, 0.202, 0.000), In at (0.000, 0.353, 0.500) and In at (0.000, 0.500, 0.500).

[10]
## YHoHgO2 (GGA-PBE)

Data for a geometry-optimized YHoHgO2 structure.

The uncorrected formation energy comes out at -2.51 eV per atom. As for the density of states at the Fermi level: 2.71 states/eV/cell.

It has space group I4mm (No. 107), with a = 3.989 Å, b = 3.989 Å, c = 11.856 Å, α = 90.00°, β = 90.00° and γ = 90.00°. The inequivalent atoms are Y at (0.000, 0.000, 0.000), Ho at (0.000, 0.000, 0.321), Hg at (0.000, 0.000, 0.658) and O at (0.000, 0.500, 0.408).

[11]
## Tb2AuCl (GGA-PBE)

Data for a geometry-optimized Tb2AuCl structure.

The uncorrected formation energy comes out at -1.01 eV per atom. As for the density of states at the Fermi level: 3.65 states/eV/cell. The energy above the most stable polymorph in this dataset is 0.010 eV per atom.

It has space group R3m (No. 160, hexagonal axes), with a = 4.0000 Å, b = 4.0000 Å, c = 23.1833 Å, α = 90.00°, β = 90.00° and γ = 120.00°. The inequivalent atoms are Tb at (0.0000, 0.0000, 0.0000), Tb at (0.0000, 0.0000, 0.1863), Au at (0.0000, 0.0000, 0.5935) and Cl at (0.0000, 0.0000, 0.4218).

[12]
## CaSnIN2 (GGA-PBE)

Data for a geometry-optimized CaSnIN2 structure.

The uncorrected formation energy comes out at 1.05 eV per atom. As for the density of states at the Fermi level: 3.87 states/eV/cell. The energy above the most stable polymorph in this dataset is 0.471 eV per atom.

It has space group P4/mmm (No. 123), with a = 4.730 Å, b = 4.730 Å, c = 6.085 Å, α = 90.00°, β = 90.00° and γ = 90.00°. The inequivalent atoms are Ca at (0.000, 0.000, 0.000), Sn at (0.500, 0.500, 0.500), I at (0.000, 0.000, 0.500) and N at (0.000, 0.500, 0.000).

[13]
## Sr2PCl (GGA-PBE)

Data for a geometry-optimized Sr2PCl structure.

The uncorrected formation energy comes out at -1.20 eV per atom. As for the density of states at the Fermi level: 1.13 states/eV/cell.

It has space group I-4m2 (No. 119), with a = 4.288 Å, b = 4.288 Å, c = 12.465 Å, α = 90.00°, β = 90.00° and γ = 90.00°. The inequivalent atoms are Sr at (0.000, 0.000, 0.000), Sr at (0.000, 0.500, 0.250), P at (0.000, 0.000, 0.500) and Cl at (0.000, 0.500, 0.750).

[14]
## Pt2RhBr (GGA-PBE)

Data for a geometry-optimized Pt2RhBr structure.

The uncorrected formation energy comes out at 0.71 eV per atom. As for the density of states at the Fermi level: 14.60 states/eV/cell. The energy above the most stable polymorph in this dataset is 0.324 eV per atom.

It has space group I4/mmm (No. 139), with a = 3.949 Å, b = 3.949 Å, c = 8.577 Å, α = 90.00°, β = 90.00° and γ = 90.00°. The inequivalent atoms are Pt at (0.000, 0.500, 0.250), Rh at (0.000, 0.000, 0.000) and Br at (0.000, 0.000, 0.500).

[15]
## Pr7TeI12 (GGA-PBE)

Data for a geometry-optimized Pr7TeI12 structure.

The uncorrected formation energy comes out at -1.33 eV per atom. As for the density of states at the Fermi level: 13.97 states/eV/cell.

It has space group R-3 (No. 148, hexagonal axes), with a = 16.3685 Å, b = 16.3685 Å, c = 10.7777 Å, α = 90.00°, β = 90.00° and γ = 120.00°. The inequivalent atoms are Pr at (0.0000, 0.0000, 0.0000), Pr at (0.0469, 0.8812, 0.3378), Te at (0.0000, 0.0000, 0.5000), I at (0.0248, 0.4370, 0.1645) and I at (0.0525, 0.8657, 0.8423).

[16]
## LaIn3 (GGA-PBE)

Data for a geometry-optimized LaIn3 structure.

The value obtained for the formation energy is 312.1 kJ/mol of formula units. As for the density of states at the Fermi level: 8.40 states/eV/cell.

It has space group Pm-3m (No. 221), with a = 6.306 Å, b = 6.306 Å, c = 6.306 Å, α = 90.00°, β = 90.00° and γ = 90.00°. The inequivalent atoms are La at (0.000, 0.000, 0.000) and In at (0.000, 0.000, 0.500).

[17]
## BaFe2Mo (GGA-PBE)

Data for a geometry-optimized BaFe2Mo structure.

The value obtained for the formation energy is 441.9 kJ/mol of formula units. As for the density of states at the Fermi level: 14.00 states/eV/cell. The energy above the most stable polymorph in this dataset is 0.614 eV per atom.

It has space group Immm (No. 71), with a = 4.260 Å, b = 5.816 Å, c = 7.205 Å, α = 90.00°, β = 90.00° and γ = 90.00°. The inequivalent atoms are Ba at (0.000, 0.000, 0.000), Fe at (0.000, 0.500, 0.175) and Mo at (0.000, 0.000, 0.500).

[18]
## Ca2BeW (GGA-PBE)

Data for a geometry-optimized Ca2BeW structure.

The value obtained for the formation energy is 405.7 kJ/mol of formula units. As for the density of states at the Fermi level: 3.76 states/eV/cell.

It has space group P4/mmm (No. 123), with a = 4.157 Å, b = 4.157 Å, c = 4.677 Å, α = 90.00°, β = 90.00° and γ = 90.00°. The inequivalent atoms are Ca at (0.000, 0.500, 0.000), Be at (0.000, 0.000, 0.500) and W at (0.500, 0.500, 0.500).

[19]
## YMo2Se (GGA-PBE)

Data for a geometry-optimized YMo2Se structure.

The uncorrected formation energy comes out at -0.12 eV per atom. As for the density of states at the Fermi level: 8.57 states/eV/cell.

It has space group R3m (No. 160, hexagonal axes), with a = 4.3149 Å, b = 4.3149 Å, c = 15.2883 Å, α = 90.00°, β = 90.00° and γ = 120.00°. The inequivalent atoms are Y at (0.0000, 0.0000, 0.0000), Mo at (0.0000, 0.0000, 0.2077), Mo at (0.0000, 0.0000, 0.5038) and Se at (0.0000, 0.0000, 0.7839).

[20]
## LiHgTe2N (GGA-PBE)

Data for a geometry-optimized LiHgTe2N structure.

The uncorrected formation energy comes out at 0.80 eV per atom. As for the density of states at the Fermi level: 4.73 states/eV/cell. The energy above the most stable polymorph in this dataset is 0.000 eV per atom.

It has space group P4/mmm (No. 123), with a = 5.432 Å, b = 5.432 Å, c = 3.581 Å, α = 90.00°, β = 90.00° and γ = 90.00°. The inequivalent atoms are Li at (0.000, 0.000, 0.000), Hg at (0.500, 0.500, 0.500), Te at (0.000, 0.500, 0.000) and N at (0.000, 0.000, 0.500).

[21]
## LiHoGaOs (GGA-PBE)

Data for a geometry-optimized LiHoGaOs structure.

The value obtained for the formation energy is -70.7 kJ/mol of formula units. As for the density of states at the Fermi level: 9.52 states/eV/cell.

It has space group F-43m (No. 216), with a = 6.509 Å, b = 6.509 Å, c = 6.509 Å, α = 90.00°, β = 90.00° and γ = 90.00°. The inequivalent atoms are Li at (0.000, 0.000, 0.000), Ho at (0.250, 0.250, 0.750), Ga at (0.250, 0.250, 0.250) and Os at (0.000, 0.000, 0.500).

[22]
## RbPuPa2O8 (GGA-PBE)

Data for a geometry-optimized RbPuPa2O8 structure.

The uncorrected formation energy comes out at -3.02 eV per atom. As for the density of states at the Fermi level: 5.90 states/eV/cell.

It has space group P2/m (No. 10), with a = 5.313 Å, b = 7.190 Å, c = 5.319 Å, α = 90.00°, β = 92.69° and γ = 90.00°. The inequivalent atoms are Rb at (0.000, 0.000, 0.000), Pu at (0.000, 0.500, 0.000), Pa at (0.500, 0.252, 0.500), O at (0.206, 0.301, 0.204), O at (0.317, 0.500, 0.682) and O at (0.340, 0.000, 0.657).

[23]
## BaUSiO6 (GGA-PBE)

Data for a geometry-optimized BaUSiO6 structure.

The uncorrected formation energy comes out at -2.89 eV per atom. As for the density of states at the Fermi level: 0.00 states/eV/cell.

It has space group P312 (No. 149), with a = 5.2876 Å, b = 5.2876 Å, c = 5.7914 Å, α = 90.00°, β = 90.00° and γ = 120.00°. The inequivalent atoms are Ba at (0.0000, 0.0000, 0.0000), U at (0.3333, 0.6667, 0.5000), Si at (0.6667, 0.3333, 0.5000) and O at (0.3992, 0.0383, 0.6818).

[24]
## ZrSc2Hg (GGA-PBE)

Data for a geometry-optimized ZrSc2Hg structure.

The value obtained for the formation energy is -23.5 kJ/mol of formula units. As for the density of states at the Fermi level: 17.99 states/eV/cell.

It has space group R3m (No. 160, hexagonal axes), with a = 3.2799 Å, b = 3.2799 Å, c = 30.4601 Å, α = 90.00°, β = 90.00° and γ = 120.00°. The inequivalent atoms are Zr at (0.0000, 0.0000, 0.0000), Sc at (0.0000, 0.0000, 0.2512), Sc at (0.0000, 0.0000, 0.4942) and Hg at (0.0000, 0.0000, 0.7491).

[25]
## Tb4Y5Mg (GGA-PBE)

Data for a geometry-optimized Tb4Y5Mg structure.

The value obtained for the formation energy is -2.2 kJ/mol of formula units. As for the density of states at the Fermi level: 14.32 states/eV/cell. The energy above the most stable polymorph in this dataset is 0.000 eV per atom.

It has space group P4/mmm (No. 123), with a = 3.579 Å, b = 3.579 Å, c = 24.433 Å, α = 90.00°, β = 90.00° and γ = 90.00°. The inequivalent atoms are Tb at (0.000, 0.000, 0.103), Tb at (0.000, 0.000, 0.309), Y at (0.500, 0.500, 0.000), Y at (0.500, 0.500, 0.206), Y at (0.500, 0.500, 0.410) and Mg at (0.000, 0.000, 0.500).

[26]
## W5Se4 (GGA-PBE)

Data for a geometry-optimized W5Se4 structure.

The uncorrected formation energy comes out at 0.27 eV per atom. As for the density of states at the Fermi level: 13.88 states/eV/cell. The energy above the most stable polymorph in this dataset is 0.000 eV per atom.

It has space group I4/mmm (No. 139), with a = 10.019 Å, b = 10.019 Å, c = 3.231 Å, α = 90.00°, β = 90.00° and γ = 90.00°. The inequivalent atoms are W at (0.000, 0.000, 0.000), W at (0.152, 0.152, 0.500) and Se at (0.000, 0.299, 0.000).

[27]
## HgOs3Au (GGA-PBE)

Data for a geometry-optimized HgOs3Au structure.

The value obtained for the formation energy is 1382.0 kJ/mol of formula units. As for the density of states at the Fermi level: 5.50 states/eV/cell. The energy above the most stable polymorph in this dataset is 0.000 eV per atom.

It has space group Pm-3m (No. 221), with a = 4.899 Å, b = 4.899 Å, c = 4.899 Å, α = 90.00°, β = 90.00° and γ = 90.00°. The inequivalent atoms are Hg at (0.000, 0.000, 0.000), Os at (0.000, 0.500, 0.500) and Au at (0.500, 0.500, 0.500).